No. 1
VASP calculation (GGA-PBE) on crystalline HfHIr2Os at its relaxed geometry.

Calculated total energy (eV per atom): -8.88
SG: No. 123
Crystal system: tetragonal

abc: 4.0035 4.0035 4.0277
angles: 90.00 90.00 90.00
With the nearest neighbours (Å) after each atom.
Fractional positions:
Ir 0.5000 0.0000 0.0000  2 H 2.00
Ir 0.0000 0.5000 0.0000  2 H 2.00
Hf 0.5000 0.5000 0.5000  4 Os 2.83, 8 Ir 2.84
H 0.0000 0.0000 0.0000  4 Ir 2.00, 2 Os 2.01
Os 0.0000 0.0000 0.5000  2 H 2.01

No. 2
VASP calculation (GGA-PBE) on crystalline LaAgPb at its relaxed geometry.

SG: No. 129
Crystal system: tetragonal
Calculated formation energy (eV per atom): -0.469

abc: 4.7907 4.7907 7.4445
angles: 89.98 89.98 90.00
With the nearest neighbours (Å) after each atom.
Fractional positions:
Ag 0.7438 0.3584 0.2472  4 Pb 3.04, 4 La 3.26, 4 Ag 3.39
Ag 0.2436 0.8587 0.2472  4 Pb 3.04, 4 La 3.26, 4 Ag 3.39
La 0.7439 0.8587 0.9507  4 Ag 3.26, 5 Pb 3.36-3.40
La 0.2435 0.3584 0.5438  4 Ag 3.26, 5 Pb 3.36-3.40
Pb 0.2439 0.3588 0.9956  4 Ag 3.04, 5 La 3.36-3.40
Pb 0.7435 0.8583 0.4990  4 Ag 3.04, 5 La 3.36-3.40

No. 3
VASP calculation (GGA-PBE) on crystalline CaYTc3 at its relaxed geometry.

SG: No. 221
Crystal system: cubic
ΔE to the lowest computed polymorph (meV per atom): 0
Calculated formation energy (eV per atom): 1.788

abc: 4.9340 4.9340 4.9340
angles: 90.00 90.00 90.00
With the nearest neighbours (Å) after each atom.
Fractional positions:
Ca 0.5000 0.5000 0.5000  12 Tc 3.49
Y 0.0000 0.0000 0.0000  6 Tc 2.47
Tc 0.0000 0.0000 0.5000  2 Y 2.47
Tc 0.0000 0.5000 0.0000  2 Y 2.47
Tc 0.5000 0.0000 0.0000  2 Y 2.47

No. 4
VASP calculation (GGA-PBE) on crystalline CsNaC3 at its relaxed geometry.

SG: No. 221
Crystal system: cubic
ΔE to the lowest computed polymorph (meV per atom): 335
Calculated formation energy (eV per atom): 3.653

abc: 5.7276 5.7276 5.7276
angles: 90.00 90.00 90.00
With the nearest neighbours (Å) after each atom.
Fractional positions:
C 0.0000 0.5000 0.0000  2 Cs 2.86
C 0.5000 0.0000 0.0000  2 Cs 2.86
C 0.0000 0.0000 0.5000  2 Cs 2.86
Cs 0.0000 0.0000 0.0000  6 C 2.86
Na 0.5000 0.5000 0.5000  12 C 4.05

No. 5
VASP calculation (GGA-PBE) on crystalline Ac3Ir2Rh7 at its relaxed geometry.

SG: No. 166
Crystal system: trigonal
Calculated formation energy (eV per atom): -0.408

abc: 5.4632 5.4632 9.5512
angles: 73.38 73.38 60.00
With the nearest neighbours (Å) after each atom.
Fractional positions:
Ac 0.8616 0.8616 0.4150  12 Rh 3.16-3.51, 3 Ac 3.51
Ac 0.1384 0.1384 0.5850  12 Rh 3.16-3.51, 3 Ac 3.51
Ac 0.0000 0.0000 0.0000  6 Ir 3.15, 12 Rh 3.48
Rh 0.4223 0.4223 0.2386  2 Ir 2.65-2.69, 5 Rh 2.70-2.83
Rh 0.5777 0.0832 0.7614  2 Ir 2.65-2.69, 5 Rh 2.70-2.83
Rh 0.9168 0.4223 0.2386  2 Ir 2.65-2.69, 5 Rh 2.70-2.83
Rh 0.4223 0.9168 0.2386  2 Ir 2.65-2.69, 5 Rh 2.70-2.83
Rh 0.5000 0.5000 0.5000  6 Rh 2.83
Rh 0.0832 0.5777 0.7614  2 Ir 2.65-2.69, 5 Rh 2.70-2.83
Rh 0.5777 0.5777 0.7614  2 Ir 2.65-2.69, 5 Rh 2.70-2.83
Ir 0.6681 0.6681 0.9956  6 Rh 2.65-2.69
Ir 0.3319 0.3319 0.0044  6 Rh 2.65-2.69

No. 6
VASP calculation (GGA-PBE) on crystalline Pd2Au2I at its relaxed geometry.

SG: No. 139
Crystal system: tetragonal
ΔE to the lowest computed polymorph (meV per atom): 70

abc: 3.8898 3.8898 7.3663
angles: 74.69 74.69 90.00
With the nearest neighbours (Å) after each atom.
Fractional positions:
Au 0.7500 0.2500 0.5000  4 Au 2.75, 4 Pd 2.83
Au 0.2500 0.7500 0.5000  4 Au 2.75, 4 Pd 2.83
Pd 0.5996 0.5996 0.8008  1 Pd 2.72, 4 Au 2.83
Pd 0.4004 0.4004 0.1992  1 Pd 2.72, 4 Au 2.83
I 0.0000 0.0000 0.0000  8 Pd 3.07

No. 7
VASP calculation (GGA-PBE) on crystalline LaTa2Br at its relaxed geometry.

SG: No. 166
Crystal system: trigonal
ΔE to the lowest computed polymorph (meV per atom): 710

abc: 10.4093 10.4093 10.4093
angles: 17.33 17.33 17.33
With the nearest neighbours (Å) after each atom.
Fractional positions:
Ta 0.5109 0.5109 0.5109  3 Br 2.87, 6 Ta 3.14
Ta 0.9891 0.9891 0.9891  3 Br 2.87, 6 Ta 3.14
La 0.7500 0.7500 0.7500  6 La 3.14, 6 Ta 3.42
Br 0.2500 0.2500 0.2500  6 Ta 2.87, 6 Br 3.14

No. 8
VASP calculation (GGA-PBE) on crystalline BeBH at its relaxed geometry.

SG: No. 2
Crystal system: triclinic
ΔE to the lowest computed polymorph (meV per atom): 76

abc: 3.7008 3.7196 4.9863
angles: 89.29 81.95 60.20
With the nearest neighbours (Å) after each atom.
Fractional positions:
Be 0.4831 0.7573 0.5667  4 B 1.86-1.96, 2 Be 1.97
Be 0.5169 0.2427 0.4333  4 B 1.86-1.96, 2 Be 1.97
H 0.0573 0.7286 0.1836  1 B 1.24
H 0.9427 0.2714 0.8164  1 B 1.24
B 0.9849 0.2566 0.5659  1 H 1.24
B 0.0151 0.7434 0.4341  1 H 1.24

No. 9
VASP calculation (GGA-PBE) on crystalline Cd2Sn2Pd5 at its relaxed geometry.

SG: No. 46
Crystal system: orthorhombic
Calculated formation energy (eV per atom): -0.316

abc: 5.3752 8.8283 8.7969
angles: 120.12 107.79 90.00
With the nearest neighbours (Å) after each atom.
Fractional positions:
Pd 0.4189 0.4684 0.2921  2 Sn 2.72-2.73, 2 Cd 2.84-2.87, 5 Pd 2.85-3.02
Pd 0.2174 0.7500 0.8935  2 Cd 2.69-2.70, 2 Sn 2.69-2.72, 5 Pd 2.82-3.01
Pd 0.9877 0.0856 0.5000  2 Cd 2.76, 4 Pd 2.82-3.02, 2 Sn 2.83
Pd 0.0123 0.5856 0.5000  2 Cd 2.76, 4 Pd 2.82-3.02, 2 Sn 2.83
Pd 0.1761 0.2500 0.8935  2 Cd 2.69-2.70, 2 Sn 2.69-2.72, 5 Pd 2.82-3.01
Pd 0.8239 0.3565 0.1065  2 Cd 2.69-2.70, 2 Sn 2.69-2.72, 5 Pd 2.82-3.01
Pd 0.3732 0.9684 0.2921  2 Sn 2.72-2.73, 2 Cd 2.84-2.87, 5 Pd 2.85-3.02
Pd 0.5811 0.1763 0.7079  2 Sn 2.72-2.73, 2 Cd 2.84-2.87, 5 Pd 2.85-3.02
Pd 0.7826 0.8565 0.1065  2 Cd 2.69-2.70, 2 Sn 2.69-2.72, 5 Pd 2.82-3.01
Pd 0.6268 0.6763 0.7079  2 Sn 2.72-2.73, 2 Cd 2.84-2.87, 5 Pd 2.85-3.02
Cd 0.0000 0.0445 0.0000  4 Pd 2.69-2.70
Cd 0.5000 0.5445 0.0000  4 Pd 2.69-2.70
Cd 0.3076 0.3305 0.5000  6 Pd 2.76-2.87
Cd 0.6924 0.8305 0.5000  6 Pd 2.76-2.87
Sn 0.3259 0.9316 0.7391  5 Pd 2.69-2.83
Sn 0.9132 0.4316 0.7391  5 Pd 2.69-2.83
Sn 0.0868 0.6925 0.2609  5 Pd 2.69-2.83
Sn 0.6741 0.1925 0.2609  5 Pd 2.69-2.83

No. 10
VASP calculation (GGA-PBE) on crystalline LiCeHoS4 at its relaxed geometry.

Calculated total energy (eV per atom): -5.92
SG: No. 74
Crystal system: orthorhombic

abc: 7.8278 7.9654 7.9654
angles: 61.65 60.57 60.57
With the nearest neighbours (Å) after each atom.
Fractional positions:
Ho 0.0000 0.0000 0.5000  6 S 2.73-2.74
Ho 0.5000 0.0000 0.5000  6 S 2.73-2.74
S 0.7577 0.2251 0.2594  1 Li 2.59, 1 Ce 2.72, 2 Ho 2.73
S 0.2286 0.7563 0.2563  1 Li 2.60, 1 Ho 2.74, 2 Ce 2.75
S 0.7577 0.7594 0.7251  1 Li 2.59, 1 Ce 2.72, 2 Ho 2.73
S 0.7714 0.2437 0.7437  1 Li 2.60, 1 Ho 2.74, 2 Ce 2.75
S 0.2423 0.2406 0.2749  1 Li 2.59, 1 Ce 2.72, 2 Ho 2.73
S 0.7589 0.7563 0.2563  1 Li 2.60, 1 Ho 2.74, 2 Ce 2.75
S 0.2411 0.2437 0.7437  1 Li 2.60, 1 Ho 2.74, 2 Ce 2.75
S 0.2423 0.7749 0.7406  1 Li 2.59, 1 Ce 2.72, 2 Ho 2.73
Li 0.6338 0.6162 0.1162  4 S 2.59-2.60
Li 0.3662 0.3838 0.8838  4 S 2.59-2.60
Ce 0.0000 0.5000 0.5000  6 S 2.72-2.75
Ce 0.0000 0.0000 0.0000  6 S 2.72-2.75

No. 11
VASP calculation (GGA-PBE) on crystalline La3PrZn2 at its relaxed geometry.

SG: No. 123
Crystal system: tetragonal
Calculated formation energy (eV per atom): -0.208

abc: 3.7714 3.7714 12.6851
angles: 90.00 90.00 90.00
With the nearest neighbours (Å) after each atom.
Fractional positions:
Pr 0.5000 0.5000 0.5000  8 La 3.76, 4 Pr 3.77
La 0.0000 0.0000 0.7089  4 Zn 3.22
La 0.0000 0.0000 0.2911  4 Zn 3.22
La 0.0000 0.0000 0.0000  8 Zn 3.26
Zn 0.5000 0.5000 0.8519  8 La 3.22-3.26
Zn 0.5000 0.5000 0.1481  8 La 3.22-3.26

No. 12
VASP calculation (GGA-PBE) on crystalline AlSi2C at its relaxed geometry.

SG: No. 122
Crystal system: tetragonal
ΔE to the lowest computed polymorph (meV per atom): 0

abc: 5.1763 5.1763 5.9749
angles: 64.33 64.33 90.00
With the nearest neighbours (Å) after each atom.
Fractional positions:
Si 0.2117 0.6250 0.2500  2 C 1.95
Si 0.8750 0.7883 0.7500  2 C 1.95
Si 0.5383 0.1250 0.2500  2 C 1.95
Si 0.3750 0.4617 0.7500  2 C 1.95
Al 0.7500 0.2500 0.5000  4 Si 2.47
Al 0.0000 0.0000 0.0000  4 Si 2.47
C 0.5000 0.5000 0.0000  4 Si 1.95
C 0.2500 0.7500 0.5000  4 Si 1.95

Per-record magnetic moment, μB per formula unit: 0.00 0.00 3.11 8.00 0.00 0.00 0.00 0.00 0.00 0.00 0.00 0.00